Density functional theory data (PBE) for LiAsPt after structural relaxation.

The structure in POSCAR format:
```
LiAsPt
1.0
0.000 2.948 2.948
2.948 0.000 2.948
2.948 2.948 0.000
Li As Pt
1 1 1
Cartesian
0.000 0.000 0.000 Li
2.948 2.948 2.948 As
4.421 4.421 4.421 Pt
```

## Properties
E in eV/atom: -4.723
Mass density in kg/m³: 8978
Total moment in Bohr magnetons per cell: 0.00

***

Density functional theory data (PBE) for LiAsPt4 after structural relaxation.

The structure in POSCAR format:
```
LiAsPt4
1.0
0.000 3.741 3.741
3.741 0.000 3.741
3.741 3.741 0.000
Li As Pt
1 1 4
Cartesian
0.000 0.000 0.000 Li
5.611 5.611 5.611 As
2.805 2.805 2.805 Pt
4.676 4.676 2.805 Pt
4.676 2.805 4.676 Pt
2.805 4.676 4.676 Pt
```

## Properties
E in eV/atom: -5.189
Mass density in kg/m³: 13675
Total moment in Bohr magnetons per cell: 0.00

***

Density functional theory data (PBE) for LiAsPt after structural relaxation.

The structure in POSCAR format:
```
LiAsPt
1.0
-1.700 1.700 3.956
1.700 -1.700 3.956
1.700 1.700 -3.956
Li As Pt
1 1 1
Cartesian
0.000 0.000 0.000 Li
0.000 0.000 5.408 As
0.000 0.000 2.556 Pt
```

## Properties
E in eV/atom: -4.679
Mass density in kg/m³: 10058
Total moment in Bohr magnetons per cell: 0.00

***

Density functional theory data (PBE) for Li3As3Pt2 after structural relaxation.

The structure in POSCAR format:
```
Li3As3Pt2
1.0
7.489 0.000 0.000
0.000 16.060 0.000
0.000 0.000 4.473
Li As Pt
12 12 8
Cartesian
0.079 2.531 0.151 Li
0.079 5.499 0.151 Li
1.028 12.045 1.999 Li
2.717 4.015 4.236 Li
3.665 10.561 2.387 Li
3.665 13.529 2.387 Li
3.824 2.531 2.085 Li
3.824 5.499 2.085 Li
4.772 12.045 0.237 Li
6.461 4.015 2.473 Li
7.409 10.561 4.321 Li
7.409 13.529 4.321 Li
1.253 9.056 2.345 As
1.253 15.034 2.345 As
1.495 4.015 2.000 As
2.249 12.045 4.237 As
2.491 1.026 0.108 As
2.491 7.004 0.108 As
4.998 9.056 4.364 As
4.998 15.034 4.364 As
5.239 4.015 0.236 As
5.994 12.045 2.472 As
6.236 1.026 2.128 As
6.236 7.004 2.128 As
1.248 1.475 2.424 Pt
1.248 6.555 2.424 Pt
2.496 9.505 0.188 Pt
2.496 14.585 0.188 Pt
4.993 1.475 4.284 Pt
4.993 6.555 4.284 Pt
6.240 9.505 2.048 Pt
6.240 14.585 2.048 Pt
```

## Properties
E in eV/atom: -4.531
Mass density in kg/m³: 7850
Total moment in Bohr magnetons per cell: 0.00

***

Density functional theory data (PBE) for LiPu2As4Pt3 after structural relaxation.

The structure in POSCAR format:
```
LiPu2As4Pt3
1.0
4.366 0.000 0.000
0.000 4.366 0.000
0.000 0.000 10.168
Li Pu As Pt
1 2 4 3
Cartesian
0.000 0.000 0.000 Li
0.000 2.183 7.608 Pu
2.183 0.000 2.560 Pu
0.000 0.000 5.084 As
0.000 2.183 1.373 As
2.183 0.000 8.796 As
2.183 2.183 5.084 As
0.000 2.183 3.831 Pt
2.183 0.000 6.337 Pt
2.183 2.183 0.000 Pt
```

## Properties
E in eV/atom: -7.423
Mass density in kg/m³: 11822
Total moment in Bohr magnetons per cell: 10.77

***

Density functional theory data (PBE) for Rb2LiAs2Pt after structural relaxation.

The structure in POSCAR format:
```
Rb2LiAs2Pt
1.0
-3.143 8.030 3.314
3.143 -8.030 3.314
3.143 8.030 -3.314
Rb Li As Pt
4 2 4 2
Cartesian
1.422 2.715 0.000 Rb
1.422 -2.715 3.314 Rb
1.721 10.745 0.000 Rb
1.721 5.315 3.314 Rb
0.000 0.000 1.657 Li
0.000 0.000 4.971 Li
4.528 1.290 0.000 As
1.384 6.740 0.000 As
1.759 1.290 3.314 As
-1.384 6.740 3.314 As
3.143 0.000 1.657 Pt
0.000 8.030 1.657 Pt
```

## Properties
E in eV/atom: -3.622
Mass density in kg/m³: 5189
Total moment in Bohr magnetons per cell: 0.00

***

Density functional theory data (PBE) for Li2As2PtRh after structural relaxation.

The structure in POSCAR format:
```
Li2As2PtRh
1.0
-2.829 6.194 2.833
2.829 -6.194 2.833
2.829 6.194 -2.833
Li As Pt Rh
4 4 2 2
Cartesian
1.347 1.967 0.000 Li
1.347 -1.967 2.833 Li
1.481 8.161 0.000 Li
1.481 4.228 2.833 Li
4.152 1.586 0.000 As
1.324 4.608 0.000 As
1.505 1.586 2.833 As
-1.324 4.608 2.833 As
0.000 0.000 1.416 Pt
0.000 0.000 4.249 Pt
2.829 0.000 1.416 Rh
0.000 6.194 1.416 Rh
```

## Properties
E in eV/atom: -4.978
Mass density in kg/m³: 7724
Total moment in Bohr magnetons per cell: 0.00

***

Density functional theory data (PBE) for Li3As4Pt2Rh2 after structural relaxation.

The structure in POSCAR format:
```
Li3As4Pt2Rh2
1.0
4.254 0.000 0.000
-2.127 3.684 0.000
0.000 0.000 11.576
Li As Pt Rh
3 4 2 2
Cartesian
0.000 0.000 0.000 Li
0.000 0.000 3.084 Li
0.000 0.000 8.492 Li
0.000 2.456 4.284 As
0.000 2.456 10.319 As
2.127 1.228 1.257 As
2.127 1.228 7.291 As
0.000 2.456 1.411 Pt
2.127 1.228 10.164 Pt
0.000 2.456 6.707 Rh
2.127 1.228 4.869 Rh
```

## Properties
E in eV/atom: -5.140
Mass density in kg/m³: 8390
Total moment in Bohr magnetons per cell: 0.00

***

Density functional theory data (PBE) for LiAsPtRh after structural relaxation.

The structure in POSCAR format:
```
LiAsPtRh
1.0
0.000 3.032 3.032
3.032 0.000 3.032
3.032 3.032 0.000
Li As Pt Rh
1 1 1 1
Cartesian
0.000 0.000 0.000 Li
3.032 3.032 3.032 As
1.516 1.516 1.516 Pt
4.548 4.548 4.548 Rh
```

## Properties
E in eV/atom: -5.414
Mass density in kg/m³: 11313
Total moment in Bohr magnetons per cell: 0.00

***

Density functional theory data (PBE) for LiSm2As3Pt4 after structural relaxation.

The structure in POSCAR format:
```
LiSm2As3Pt4
1.0
4.295 0.000 0.000
0.000 4.295 0.000
0.000 0.000 10.273
Li Sm As Pt
1 2 3 4
Cartesian
0.000 0.000 0.000 Li
0.000 2.148 7.607 Sm
2.148 0.000 2.665 Sm
0.000 2.148 3.718 As
2.148 0.000 6.555 As
2.148 2.148 0.000 As
0.000 0.000 5.136 Pt
0.000 2.148 1.290 Pt
2.148 0.000 8.983 Pt
2.148 2.148 5.136 Pt
```

## Properties
E in eV/atom: -5.839
Mass density in kg/m³: 11502
Total moment in Bohr magnetons per cell: 0.00

***

Density functional theory data (PBE) for Li2SmAs2Pt2 after structural relaxation.

The structure in POSCAR format:
```
Li2SmAs2Pt2
1.0
2.140 1.235 7.829
-2.140 1.235 7.829
0.000 -2.471 7.829
Li Sm As Pt
2 1 2 2
Cartesian
0.000 0.000 3.328 Li
0.000 0.000 20.161 Li
0.000 0.000 0.000 Sm
0.000 0.000 5.949 As
0.000 0.000 17.540 As
0.000 0.000 10.001 Pt
0.000 0.000 13.488 Pt
```

## Properties
E in eV/atom: -5.194
Mass density in kg/m³: 9419
Total moment in Bohr magnetons per cell: 0.00

***

Density functional theory data (PBE) for LiSmAs2Pt4 after structural relaxation.

The structure in POSCAR format:
```
LiSmAs2Pt4
1.0
4.007 0.000 0.000
0.000 4.007 0.000
0.000 0.000 10.344
Li Sm As Pt
1 1 2 4
Cartesian
0.000 0.000 0.000 Li
0.000 0.000 5.172 Sm
2.003 2.003 1.480 As
2.003 2.003 8.864 As
0.000 2.003 2.944 Pt
0.000 2.003 7.399 Pt
2.003 0.000 2.944 Pt
2.003 0.000 7.399 Pt
```

## Properties
E in eV/atom: -5.587
Mass density in kg/m³: 10875
Total moment in Bohr magnetons per cell: 0.00

***

What is the mass density in the seventh record? 7724 kg/m³